# TbTm12Ni4 GGA-PBE relaxed
# Space group   Im-3 (204)
# E   -4.826 eV per atom
# Fermi-level density of states   1.47 states/eV per atom
# Formation energy from the elements   -0.0370 eV/atom
data_TbTm12Ni4
_chemical_formula_sum 'Tb1 Tm12 Ni4'
_cell_length_a 8.5708
_cell_length_b 8.5708
_cell_length_c 8.5708
_cell_angle_alpha 109.47
_cell_angle_beta 109.47
_cell_angle_gamma 109.47
_space_group_name_H-M_alt 'P 1'
_space_group_IT_number 1
loop_
_space_group_symop_operation_xyz
'x,y,z'
loop_
_atom_site_label
_atom_site_type_symbol
_atom_site_fract_x
_atom_site_fract_y
_atom_site_fract_z
Tb1 Tb 0.0000 0.0000 0.0000
Tm1 Tm 0.1327 0.3122 0.8206
Tm2 Tm 0.1794 0.4916 0.3122
Tm3 Tm 0.1794 0.8673 0.6878
Tm4 Tm 0.3122 0.1794 0.4916
Tm5 Tm 0.3122 0.8206 0.1327
Tm6 Tm 0.4916 0.3122 0.1794
Tm7 Tm 0.5084 0.6878 0.8206
Tm8 Tm 0.6878 0.1794 0.8673
Tm9 Tm 0.6878 0.8206 0.5084
Tm10 Tm 0.8206 0.1327 0.3122
Tm11 Tm 0.8206 0.5084 0.6878
Tm12 Tm 0.8673 0.6878 0.1794
Ni1 Ni 0.0000 0.0000 0.5000
Ni2 Ni 0.0000 0.5000 0.0000
Ni3 Ni 0.5000 0.0000 0.0000
Ni4 Ni 0.5000 0.5000 0.5000